# meta-GGA SCAN ErCuNi, PBEsol geometry
data_ErCuNi
_space_group_name_H-M_alt 'I m m a'
_space_group_IT_number 74
_space_group_name_Hall '-I 2b 2'
_cell_length_a 4.966
_cell_length_b 5.108
_cell_length_c 7.104
_cell_angle_alpha 90.00
_cell_angle_beta 90.00
_cell_angle_gamma 90.00
loop_
_atom_site_label
_atom_site_type_symbol
_atom_site_fract_x
_atom_site_fract_y
_atom_site_fract_z
Er1 Er 0.000 0.250 0.126
Cu1 Cu 0.250 0.250 0.750
Ni1 Ni 0.000 0.000 0.500
# VASP energy = -27.6105 eV per atom
# Calculated density = 10.672 g/cm³
# ΔH_f (0 K) = -372.8 meV per atom
# Size of the total moment = 0.000 μB per atom